(1)
A plane-wave DFT calculation with PBE was carried out for Cu2GePt2 after structural relaxation.

Properties
electronic total energy	-49.68	eV for the cell shown
theoretical density	12.92	g/cm3
spin magnetization	0.073	Bohr magnetons per cell
energy relative to the elements	0.010	eV/atom
energy above the most stable polymorph in this dataset	6.025	kcal/mol of atoms

a b c (Å): 7.327 7.327 2.825
angles (deg): 90.00 90.00 90.00
Fractional positions:
Ge  0.500  0.500  0.000
Ge  0.000  0.000  0.000
Pt  0.826  0.326  0.500
Pt  0.326  0.174  0.500
Pt  0.174  0.674  0.500
Pt  0.674  0.826  0.500
Cu  0.122  0.378  0.000
Cu  0.378  0.878  0.000
Cu  0.622  0.122  0.000
Cu  0.878  0.622  0.000

***

(2)
A plane-wave DFT calculation with PBE was carried out for MgCo2Tc after structural relaxation.

Properties
electronic total energy	-24.74	eV for the cell shown
theoretical density	7.76	g/cm3
spin magnetization	0.916	Bohr magnetons per cell
energy relative to the elements	0.357	eV/atom

a b c (Å): 4.174 4.174 4.174
angles (deg): 60.00 60.00 60.00
Fractional positions:
Mg  0.500  0.500  0.500
Co  0.000  0.000  0.000
Co  0.250  0.250  0.250
Tc  0.750  0.750  0.750

***

(3)
A plane-wave DFT calculation with PBE was carried out for LaZn4Br after structural relaxation.

Properties
electronic total energy	-12.68	eV for the cell shown
theoretical density	6.12	g/cm3
spin magnetization	0.000	Bohr magnetons per cell
formation energy (no corrections)	-0.1638	eV/atom

a b c (Å): 5.691 5.691 5.691
angles (deg): 60.00 60.00 60.00
Fractional positions:
Br  0.750  0.750  0.750
Zn  0.877  0.374  0.374
Zn  0.374  0.374  0.877
Zn  0.374  0.877  0.374
Zn  0.374  0.374  0.374
La  0.000  0.000  0.000

***

(4)
A plane-wave DFT calculation with PBE was carried out for Na3Ac3BiO8 after structural relaxation.

Properties
electronic total energy	-93.36	eV for the cell shown
theoretical density	6.57	g/cm3
spin magnetization	0.000	Bohr magnetons per cell
formation energy (no corrections)	-2.2355	eV/atom

a b c (Å): 7.513 7.513 7.099
angles (deg): 121.95 90.00 120.00
Fractional positions:
Ac  0.000  0.500  0.500
Ac  0.500  0.000  0.500
Ac  0.500  0.500  0.500
Na  0.000  0.500  0.000
Na  0.500  0.500  0.000
Na  0.000  0.000  0.000
O  0.262  0.523  0.285
O  0.223  0.445  0.713
O  0.232  0.009  0.287
O  0.777  0.009  0.287
O  0.738  0.477  0.715
O  0.777  0.555  0.287
O  0.223  0.991  0.713
O  0.768  0.991  0.713
Bi  0.000  0.000  0.500

***

(5)
A plane-wave DFT calculation with PBE was carried out for NiHS after structural relaxation.

Properties
electronic total energy	-27.35	eV for the cell shown
theoretical density	4.05	g/cm3
spin magnetization	0.000	Bohr magnetons per cell

a b c (Å): 3.795 3.257 6.118
angles (deg): 90.00 95.45 90.00
Fractional positions:
S  0.795  0.500  0.463
S  0.955  0.500  0.941
Ni  0.283  0.500  0.268
Ni  0.895  0.000  0.698
H  0.312  0.000  0.251
H  0.621  0.500  0.022

***

(6)
A plane-wave DFT calculation with PBE was carried out for Ba2YCd after structural relaxation.

Properties
electronic total energy	-11.50	eV for the cell shown
theoretical density	4.66	g/cm3
spin magnetization	0.022	Bohr magnetons per cell
energy relative to the elements	-0.068	eV/atom

a b c (Å): 4.053 4.053 10.317
angles (deg): 90.00 90.00 90.00
Fractional positions:
Y  0.500  0.500  0.682
Ba  0.500  0.500  0.317
Ba  0.000  0.000  0.960
Cd  0.000  0.000  0.542

***

(7)
A plane-wave DFT calculation with PBE was carried out for TiAlCr2 after structural relaxation.

Properties
electronic total energy	-30.86	eV for the cell shown
theoretical density	5.46	g/cm3
spin magnetization	0.000	Bohr magnetons per cell
energy relative to the elements	0.005	eV/atom

a b c (Å): 4.094 3.645 3.645
angles (deg): 90.00 90.00 90.00
Fractional positions:
Cr  0.000  0.000  0.500
Cr  0.000  0.500  0.000
Ti  0.500  0.500  0.500
Al  0.500  0.000  0.000

***

(8)
A plane-wave DFT calculation with PBE was carried out for ZrTa2Ru2 after structural relaxation.

Properties
electronic total energy	-103.35	eV for the cell shown
theoretical density	12.31	g/cm3
spin magnetization	0.000	Bohr magnetons per cell
energy relative to the elements	-0.174	eV/atom
energy above the most stable polymorph in this dataset	4.427	kcal/mol of atoms

a b c (Å): 7.590 7.590 3.069
angles (deg): 90.00 90.00 90.00
Fractional positions:
Ru  0.636  0.136  0.000
Ru  0.864  0.636  0.000
Ru  0.136  0.364  0.000
Ru  0.364  0.864  0.000
Ta  0.659  0.841  0.500
Ta  0.341  0.159  0.500
Ta  0.159  0.659  0.500
Ta  0.841  0.341  0.500
Zr  0.500  0.500  0.000
Zr  0.000  0.000  0.000

***

(9)
A plane-wave DFT calculation with PBE was carried out for Ba2ICl2 after structural relaxation.

Properties
electronic total energy	-18.66	eV for the cell shown
theoretical density	3.78	g/cm3
spin magnetization	0.972	Bohr magnetons per cell
formation energy (no corrections)	-1.9147	eV/atom
energy above the most stable polymorph in this dataset	0.000	kcal/mol of atoms

a b c (Å): 5.226 5.226 8.452
angles (deg): 71.99 71.99 90.00
Fractional positions:
I  0.000  0.000  0.000
Cl  0.250  0.750  0.500
Cl  0.750  0.250  0.500
Ba  0.363  0.363  0.274
Ba  0.637  0.637  0.726

***

(10)
A plane-wave DFT calculation with PBE was carried out for Na2YIr2 after structural relaxation.

Properties
electronic total energy	-49.87	eV for the cell shown
theoretical density	8.95	g/cm3
spin magnetization	0.000	Bohr magnetons per cell
energy relative to the elements	0.377	eV/atom
energy above the most stable polymorph in this dataset	0.000	kcal/mol of atoms

a b c (Å): 8.395 8.395 2.734
angles (deg): 90.00 90.00 90.00
Fractional positions:
Y  0.000  0.000  0.000
Y  0.500  0.500  0.000
Na  0.607  0.107  0.000
Na  0.107  0.393  0.000
Na  0.393  0.893  0.000
Na  0.893  0.607  0.000
Ir  0.192  0.692  0.500
Ir  0.692  0.808  0.500
Ir  0.308  0.192  0.500
Ir  0.808  0.308  0.500

***

(11)
A plane-wave DFT calculation with PBE was carried out for OsWSe after structural relaxation.

Properties
electronic total energy	-26.77	eV for the cell shown
theoretical density	16.06	g/cm3
spin magnetization	0.000	Bohr magnetons per cell
formation energy (no corrections)	0.2979	eV/atom
energy above the most stable polymorph in this dataset	0.000	kcal/mol of atoms

a b c (Å): 5.629 5.629 5.629
angles (deg): 149.12 149.12 44.23
Fractional positions:
Se  0.671  0.671  0.000
Os  0.994  0.994  0.000
W  0.335  0.335  0.000

***

(12)
A plane-wave DFT calculation with PBE was carried out for Sm4GeSe2Cl after structural relaxation.

Properties
electronic total energy	-44.54	eV for the cell shown
theoretical density	6.95	g/cm3
spin magnetization	0.000	Bohr magnetons per cell
formation energy (no corrections)	-1.5294	eV/atom

a b c (Å): 4.184 7.210 7.279
angles (deg): 70.80 90.00 90.00
Fractional positions:
Se  0.500  0.000  0.500
Se  0.000  0.000  0.000
Sm  0.000  0.242  0.270
Sm  0.500  0.255  0.735
Sm  0.000  0.758  0.730
Sm  0.500  0.745  0.265
Cl  0.500  0.500  0.000
Ge  0.000  0.500  0.500